KPrMo2O8: optimized geometry, GGA-PBEsol.

Its spin magnetization is 0.001 Bohr magnetons per cell.

CIF file:
```
data_KPrMo2O8
_chemical_formula_sum 'K4 Pr4 Mo8 O32'
_symmetry_space_group_name_H-M 'C 1 2/c 1'
_symmetry_Int_Tables_number 15
_symmetry_space_group_name_Hall '-C 2yc'
_cell_length_a 10.788
_cell_length_b 10.463
_cell_length_c 7.888
_cell_angle_alpha 90.00
_cell_angle_beta 131.56
_cell_angle_gamma 90.00
loop_
_atom_site_label
_atom_site_fract_x
_atom_site_fract_y
_atom_site_fract_z
K1 0.000 0.195 0.250
Pr1 0.000 0.228 0.750
Mo1 0.192 0.496 0.242
O1 0.026 0.395 0.976
O2 0.130 0.070 0.693
O3 0.189 0.418 0.433
O4 0.237 0.155 0.131
```

=====

K2Mo2Se2O11: optimized geometry, GGA-PBEsol.

Its spin magnetization is 0.001 Bohr magnetons per cell.

CIF file:
```
data_K2Mo2Se2O11
_chemical_formula_sum 'K8 Mo8 Se8 O44'
_symmetry_space_group_name_H-M 'P n m a'
_symmetry_Int_Tables_number 62
_symmetry_space_group_name_Hall '-P 2ac 2n'
_cell_length_a 10.272
_cell_length_b 14.785
_cell_length_c 6.670
_cell_angle_alpha 90.00
_cell_angle_beta 90.00
_cell_angle_gamma 90.00
loop_
_atom_site_label
_atom_site_fract_x
_atom_site_fract_y
_atom_site_fract_z
K1 0.000 0.000 0.000
K2 0.025 0.250 0.028
Mo1 0.164 0.127 0.478
Se1 0.160 0.614 0.506
O1 0.033 0.606 0.670
O2 0.084 0.115 0.704
O3 0.122 0.250 0.429
O4 0.178 0.644 0.049
O5 0.184 0.504 0.416
O6 0.207 0.128 0.158
```

=====

KTmMo2O8: optimized geometry, GGA-PBEsol.

Its spin magnetization is 0.002 Bohr magnetons per cell.

CIF file:
```
data_KTmMo2O8
_chemical_formula_sum 'K4 Tm4 Mo8 O32'
_symmetry_space_group_name_H-M 'C 1 2/c 1'
_symmetry_Int_Tables_number 15
_symmetry_space_group_name_Hall '-C 2yc'
_cell_length_a 10.492
_cell_length_b 10.145
_cell_length_c 7.583
_cell_angle_alpha 90.00
_cell_angle_beta 131.15
_cell_angle_gamma 90.00
loop_
_atom_site_label
_atom_site_fract_x
_atom_site_fract_y
_atom_site_fract_z
K1 0.000 0.198 0.250
Tm1 0.000 0.231 0.750
Mo1 0.198 0.497 0.242
O1 0.025 0.391 0.970
O2 0.124 0.080 0.691
O3 0.193 0.418 0.443
O4 0.227 0.158 0.120
```

=====

KVMoO6: optimized geometry, GGA-PBEsol.

Its spin magnetization is 0.004 Bohr magnetons per cell.

CIF file:
```
data_KVMoO6
_chemical_formula_sum 'K4 V4 Mo4 O24'
_symmetry_space_group_name_H-M 'P n m a'
_symmetry_Int_Tables_number 62
_symmetry_space_group_name_Hall '-P 2ac 2n'
_cell_length_a 10.405
_cell_length_b 3.683
_cell_length_c 13.350
_cell_angle_alpha 90.00
_cell_angle_beta 90.00
_cell_angle_gamma 90.00
loop_
_atom_site_label
_atom_site_fract_x
_atom_site_fract_y
_atom_site_fract_z
K1 0.111 0.250 0.140
V1 0.016 0.250 0.607
Mo1 0.237 0.250 0.425
O1 0.009 0.750 0.274
O2 0.025 0.250 0.427
O3 0.111 0.750 0.976
O4 0.175 0.250 0.590
O5 0.186 0.750 0.439
O6 0.237 0.750 0.800
```

=====

KMoOs: optimized geometry, GGA-PBEsol.

Its spin magnetization is 0.002 Bohr magnetons per cell. The formation enthalpy at 0 K comes out at 3.03 eV/f.u.

CIF file:
```
data_KMoOs
_chemical_formula_sum 'K4 Mo4 Os4'
_symmetry_space_group_name_H-M 'F m m 2'
_symmetry_Int_Tables_number 42
_symmetry_space_group_name_Hall 'F 2 -2'
_cell_length_a 2.945
_cell_length_b 4.599
_cell_length_c 16.245
_cell_angle_alpha 90.00
_cell_angle_beta 90.00
_cell_angle_gamma 90.00
loop_
_atom_site_label
_atom_site_fract_x
_atom_site_fract_y
_atom_site_fract_z
K1 0.000 0.000 0.000
Mo1 0.000 0.000 0.306
Os1 0.000 0.000 0.675
```

=====

KMoOs2: optimized geometry, GGA-PBEsol.

Its spin magnetization is 0.001 Bohr magnetons per cell. The formation enthalpy at 0 K comes out at 3.67 eV/f.u.

CIF file:
```
data_KMoOs2
_chemical_formula_sum 'K1 Mo1 Os2'
_symmetry_space_group_name_H-M 'P 1 m 1'
_symmetry_Int_Tables_number 6
_symmetry_space_group_name_Hall 'P -2y'
_cell_length_a 2.684
_cell_length_b 3.766
_cell_length_c 8.233
_cell_angle_alpha 90.00
_cell_angle_beta 90.31
_cell_angle_gamma 90.00
loop_
_atom_site_label
_atom_site_fract_x
_atom_site_fract_y
_atom_site_fract_z
K1 0.000 0.000 0.000
Mo1 0.488 0.500 0.363
Os1 0.492 0.500 0.676
Os2 0.990 0.000 0.539
```

=====

KMoOs3: optimized geometry, GGA-PBEsol.

Its spin magnetization is 1.458 Bohr magnetons per cell. The formation enthalpy at 0 K comes out at 19.17 eV/f.u.

CIF file:
```
data_KMoOs3
_chemical_formula_sum 'K1 Mo1 Os3'
_symmetry_space_group_name_H-M 'P m -3 m'
_symmetry_Int_Tables_number 221
_symmetry_space_group_name_Hall '-P 4 2 3'
_cell_length_a 4.410
_cell_length_b 4.410
_cell_length_c 4.410
_cell_angle_alpha 90.00
_cell_angle_beta 90.00
_cell_angle_gamma 90.00
loop_
_atom_site_label
_atom_site_fract_x
_atom_site_fract_y
_atom_site_fract_z
K1 0.000 0.000 0.000
Mo1 0.500 0.500 0.500
Os1 0.000 0.000 0.500
```

=====

KMoOs2: optimized geometry, GGA-PBEsol.

Its spin magnetization is 0.000 Bohr magnetons per cell. The formation enthalpy at 0 K comes out at 3.21 eV/f.u.

CIF file:
```
data_KMoOs2
_chemical_formula_sum 'K2 Mo2 Os4'
_symmetry_space_group_name_H-M 'C m m m'
_symmetry_Int_Tables_number 65
_symmetry_space_group_name_Hall '-C 2 2'
_cell_length_a 2.881
_cell_length_b 4.588
_cell_length_c 10.162
_cell_angle_alpha 90.00
_cell_angle_beta 90.00
_cell_angle_gamma 90.00
loop_
_atom_site_label
_atom_site_fract_x
_atom_site_fract_y
_atom_site_fract_z
K1 0.000 0.000 0.000
Mo1 0.000 0.000 0.500
Os1 0.000 0.500 0.284
```

=====

KMo2P: optimized geometry, GGA-PBEsol.

Its spin magnetization is 0.000 Bohr magnetons per cell. The formation enthalpy at 0 K comes out at 1.96 eV/f.u.

CIF file:
```
data_KMo2P
_chemical_formula_sum 'K1 Mo2 P1'
_symmetry_space_group_name_H-M 'P 4/m m m'
_symmetry_Int_Tables_number 123
_symmetry_space_group_name_Hall '-P 4 2'
_cell_length_a 3.031
_cell_length_b 3.031
_cell_length_c 8.679
_cell_angle_alpha 90.00
_cell_angle_beta 90.00
_cell_angle_gamma 90.00
loop_
_atom_site_label
_atom_site_fract_x
_atom_site_fract_y
_atom_site_fract_z
K1 0.000 0.000 0.000
Mo1 0.500 0.500 0.353
P1 0.000 0.000 0.500
```

=====

KMo2PSe: optimized geometry, GGA-PBEsol.

Its spin magnetization is 2.170 Bohr magnetons per cell.

CIF file:
```
data_KMo2PSe
_chemical_formula_sum 'K1 Mo2 P1 Se1'
_symmetry_space_group_name_H-M 'P 4/m m m'
_symmetry_Int_Tables_number 123
_symmetry_space_group_name_Hall '-P 4 2'
_cell_length_a 4.583
_cell_length_b 4.583
_cell_length_c 4.807
_cell_angle_alpha 90.00
_cell_angle_beta 90.00
_cell_angle_gamma 90.00
loop_
_atom_site_label
_atom_site_fract_x
_atom_site_fract_y
_atom_site_fract_z
K1 0.000 0.000 0.000
Mo1 0.000 0.500 0.000
P1 0.000 0.000 0.500
Se1 0.500 0.500 0.500
```

=====

K2MoPb: optimized geometry, GGA-PBEsol.

Its spin magnetization is 1.031 Bohr magnetons per cell. The formation enthalpy at 0 K comes out at 4.17 eV/f.u.

CIF file:
```
data_K2MoPb
_chemical_formula_sum 'K4 Mo2 Pb2'
_symmetry_space_group_name_H-M 'C m m m'
_symmetry_Int_Tables_number 65
_symmetry_space_group_name_Hall '-C 2 2'
_cell_length_a 3.649
_cell_length_b 4.787
_cell_length_c 12.113
_cell_angle_alpha 90.00
_cell_angle_beta 90.00
_cell_angle_gamma 90.00
loop_
_atom_site_label
_atom_site_fract_x
_atom_site_fract_y
_atom_site_fract_z
K1 0.000 0.000 0.241
Mo1 0.000 0.500 0.000
Pb1 0.000 0.500 0.500
```

=====

KMoPb: optimized geometry, GGA-PBEsol.

Its spin magnetization is 0.002 Bohr magnetons per cell. The formation enthalpy at 0 K comes out at 3.49 eV/f.u.

CIF file:
```
data_KMoPb
_chemical_formula_sum 'K1 Mo1 Pb1'
_symmetry_space_group_name_H-M 'P 3 m 1'
_symmetry_Int_Tables_number 156
_symmetry_space_group_name_Hall 'P 3 -2"'
_cell_length_a 5.2650
_cell_length_b 5.2650
_cell_length_c 2.9145
_cell_angle_alpha 90.00
_cell_angle_beta 90.00
_cell_angle_gamma 120.00
loop_
_atom_site_label
_atom_site_fract_x
_atom_site_fract_y
_atom_site_fract_z
K1 0.0000 0.0000 0.0000
Mo1 0.3333 0.6667 0.4939
Pb1 0.6667 0.3333 0.5000
```

=====

KMoPb: optimized geometry, GGA-PBEsol.

Its spin magnetization is 12.007 Bohr magnetons per cell. The formation enthalpy at 0 K comes out at 4.03 eV/f.u.

CIF file:
```
data_KMoPb
_chemical_formula_sum 'K4 Mo4 Pb4'
_symmetry_space_group_name_H-M 'F -4 3 m'
_symmetry_Int_Tables_number 216
_symmetry_space_group_name_Hall 'F -4 2 3'
_cell_length_a 7.027
_cell_length_b 7.027
_cell_length_c 7.027
_cell_angle_alpha 90.00
_cell_angle_beta 90.00
_cell_angle_gamma 90.00
loop_
_atom_site_label
_atom_site_fract_x
_atom_site_fract_y
_atom_site_fract_z
K1 0.000 0.000 0.000
Mo1 0.250 0.250 0.250
Pb1 0.000 0.000 0.500
```

=====

K2MoPb: optimized geometry, GGA-PBEsol.

Its spin magnetization is 0.466 Bohr magnetons per cell. The formation enthalpy at 0 K comes out at 4.18 eV/f.u.

CIF file:
```
data_K2MoPb
_chemical_formula_sum 'K2 Mo1 Pb1'
_symmetry_space_group_name_H-M 'P 4/m m m'
_symmetry_Int_Tables_number 123
_symmetry_space_group_name_Hall '-P 4 2'
_cell_length_a 2.983
_cell_length_b 2.983
_cell_length_c 11.929
_cell_angle_alpha 90.00
_cell_angle_beta 90.00
_cell_angle_gamma 90.00
loop_
_atom_site_label
_atom_site_fract_x
_atom_site_fract_y
_atom_site_fract_z
K1 0.000 0.000 0.242
Mo1 0.500 0.500 0.000
Pb1 0.500 0.500 0.500
```

=====

KMo2Pb: optimized geometry, GGA-PBEsol.

Its spin magnetization is 0.047 Bohr magnetons per cell. The formation enthalpy at 0 K comes out at 4.41 eV/f.u.

CIF file:
```
data_KMo2Pb
_chemical_formula_sum 'K1 Mo2 Pb1'
_symmetry_space_group_name_H-M 'P 4/m m m'
_symmetry_Int_Tables_number 123
_symmetry_space_group_name_Hall '-P 4 2'
_cell_length_a 3.702
_cell_length_b 3.702
_cell_length_c 7.499
_cell_angle_alpha 90.00
_cell_angle_beta 90.00
_cell_angle_gamma 90.00
loop_
_atom_site_label
_atom_site_fract_x
_atom_site_fract_y
_atom_site_fract_z
K1 0.000 0.000 0.000
Mo1 0.500 0.500 0.351
Pb1 0.000 0.000 0.500
```

=====

KMo2Pb: optimized geometry, GGA-PBEsol.

Its spin magnetization is 0.001 Bohr magnetons per cell. The formation enthalpy at 0 K comes out at 4.05 eV/f.u.

CIF file:
```
data_KMo2Pb
_chemical_formula_sum 'K2 Mo4 Pb2'
_symmetry_space_group_name_H-M 'I m m 2'
_symmetry_Int_Tables_number 44
_symmetry_space_group_name_Hall 'I 2 -2'
_cell_length_a 3.212
_cell_length_b 5.561
_cell_length_c 10.743
_cell_angle_alpha 90.00
_cell_angle_beta 90.00
_cell_angle_gamma 90.00
loop_
_atom_site_label
_atom_site_fract_x
_atom_site_fract_y
_atom_site_fract_z
K1 0.000 0.000 0.000
Mo1 0.000 0.000 0.566
Mo2 0.000 0.500 0.220
Pb1 0.000 0.500 0.798
```

=====

KMo2Pb: optimized geometry, GGA-PBEsol.

Its spin magnetization is 0.001 Bohr magnetons per cell. The formation enthalpy at 0 K comes out at 4.47 eV/f.u.

CIF file:
```
data_KMo2Pb
_chemical_formula_sum 'K1 Mo2 Pb1'
_symmetry_space_group_name_H-M 'P 1 2/m 1'
_symmetry_Int_Tables_number 10
_symmetry_space_group_name_Hall '-P 2y'
_cell_length_a 2.912
_cell_length_b 5.356
_cell_length_c 6.465
_cell_angle_alpha 90.00
_cell_angle_beta 90.87
_cell_angle_gamma 90.00
loop_
_atom_site_label
_atom_site_fract_x
_atom_site_fract_y
_atom_site_fract_z
K1 0.000 0.000 0.000
Mo1 0.378 0.500 0.660
Pb1 0.500 0.000 0.500
```

=====

KMo2Pb: optimized geometry, GGA-PBEsol.

Its spin magnetization is 0.000 Bohr magnetons per cell. The formation enthalpy at 0 K comes out at 3.63 eV/f.u.

CIF file:
```
data_KMo2Pb
_chemical_formula_sum 'K2 Mo4 Pb2'
_symmetry_space_group_name_H-M 'C 1 2/m 1'
_symmetry_Int_Tables_number 12
_symmetry_space_group_name_Hall '-C 2y'
_cell_length_a 10.489
_cell_length_b 3.268
_cell_length_c 6.400
_cell_angle_alpha 90.00
_cell_angle_beta 97.48
_cell_angle_gamma 90.00
loop_
_atom_site_label
_atom_site_fract_x
_atom_site_fract_y
_atom_site_fract_z
K1 0.000 0.000 0.000
Mo1 0.233 0.000 0.622
Pb1 0.000 0.500 0.500
```

=====

KMoPt2: optimized geometry, GGA-PBEsol.

Its spin magnetization is 0.001 Bohr magnetons per cell. The formation enthalpy at 0 K comes out at 1.60 eV/f.u.

CIF file:
```
data_KMoPt2
_chemical_formula_sum 'K1 Mo1 Pt2'
_symmetry_space_group_name_H-M 'P 4 m m'
_symmetry_Int_Tables_number 99
_symmetry_space_group_name_Hall 'P 4 -2'
_cell_length_a 2.746
_cell_length_b 2.746
_cell_length_c 9.743
_cell_angle_alpha 90.00
_cell_angle_beta 90.00
_cell_angle_gamma 90.00
loop_
_atom_site_label
_atom_site_fract_x
_atom_site_fract_y
_atom_site_fract_z
K1 0.000 0.000 0.000
Mo1 0.500 0.500 0.337
Pt1 0.000 0.000 0.529
Pt2 0.500 0.500 0.741
```

=====

K2MoPt: optimized geometry, GGA-PBEsol.

Its spin magnetization is 2.036 Bohr magnetons per cell. The formation enthalpy at 0 K comes out at 2.33 eV/f.u.

CIF file:
```
data_K2MoPt
_chemical_formula_sum 'K4 Mo2 Pt2'
_symmetry_space_group_name_H-M 'I m m m'
_symmetry_Int_Tables_number 71
_symmetry_space_group_name_Hall '-I 2 2'
_cell_length_a 2.827
_cell_length_b 4.430
_cell_length_c 19.923
_cell_angle_alpha 90.00
_cell_angle_beta 90.00
_cell_angle_gamma 90.00
loop_
_atom_site_label
_atom_site_fract_x
_atom_site_fract_y
_atom_site_fract_z
K1 0.000 0.000 0.144
Mo1 0.000 0.500 0.000
Pt1 0.000 0.500 0.500
```

=====

| no. | calculated total energy (eV per atom) |
| --- | --- |
| 1 | -8.412 |
| 2 | -7.001 |
| 3 | -8.435 |
| 4 | -8.171 |
| 5 | -7.362 |
| 6 | -8.415 |
| 7 | -6.076 |
| 8 | -8.530 |
| 9 | -7.124 |
| 10 | -3.933 |
| 11 | -3.465 |
| 12 | -4.471 |
| 13 | -4.289 |
| 14 | -3.464 |
| 15 | -6.064 |
| 16 | -6.154 |
| 17 | -6.049 |
| 18 | -6.258 |
| 19 | -6.308 |
| 20 | -4.668 |